# PBE-GGA Be2TcBr, relaxed
data_Be2TcBr
_symmetry_space_group_name_H-M 'F -4 3 m'
_symmetry_Int_Tables_number 216
_symmetry_space_group_name_Hall 'F -4 2 3'
_cell_length_a 5.980
_cell_length_b 5.980
_cell_length_c 5.980
_cell_angle_alpha 90.00
_cell_angle_beta 90.00
_cell_angle_gamma 90.00
loop_
_atom_site_label
_atom_site_type_symbol
_atom_site_fract_x
_atom_site_fract_y
_atom_site_fract_z
Be1 Be 0.000 0.000 0.000
Be2 Be 0.250 0.250 0.250
Tc1 Tc 0.000 0.000 0.500
Br1 Br 0.250 0.250 0.750
# Total DFT energy (no corrections) (eV per cell): -62.07
# Offset from the most stable computed form (meV/atom): 749
# Calculated density (g/cm3): 6.09
# Formation energy from raw total energies (eV per formula unit): 3.975